The following is a PBE calculation of a geometry-optimized Sm2Si2O7 structure, from OQMD via LeMat-Bulk.

## Properties
DFT total energy = -8.1707 eV/atom

a = 4.712 Å, b = 11.126 Å, c = 5.668 Å
α = 90.00°, β = 95.58°, γ = 90.00°
Fractional positions:
Sm  0.119  0.148  0.403
Sm  0.119  0.352  0.903
Sm  0.881  0.648  0.097
Sm  0.881  0.852  0.597
Si  0.361  0.612  0.641
Si  0.361  0.888  0.141
Si  0.639  0.112  0.859
Si  0.639  0.388  0.359
O  0.124  0.682  0.462
O  0.124  0.818  0.962
O  0.212  0.555  0.867
O  0.212  0.945  0.367
O  0.383  0.201  0.753
O  0.383  0.299  0.253
O  0.500  0.000  0.000
O  0.500  0.500  0.500
O  0.617  0.701  0.747
O  0.617  0.799  0.247
O  0.788  0.055  0.633
O  0.788  0.445  0.133
O  0.876  0.182  0.038
O  0.876  0.318  0.538

The following is a PBE calculation of a geometry-optimized Sm2Si2O7 structure, from OQMD via LeMat-Bulk.

## Properties
DFT total energy = -8.1627 eV/atom

a = 6.579 Å, b = 6.653 Å, c = 12.587 Å
α = 90.00°, β = 107.82°, γ = 90.00°
Fractional positions:
Sm  0.029  0.107  0.361
Sm  0.029  0.393  0.861
Sm  0.356  0.186  0.158
Sm  0.356  0.314  0.658
Sm  0.644  0.686  0.342
Sm  0.644  0.814  0.842
Sm  0.971  0.607  0.139
Sm  0.971  0.893  0.639
Si  0.207  0.574  0.391
Si  0.207  0.926  0.891
Si  0.397  0.674  0.086
Si  0.397  0.826  0.586
Si  0.603  0.174  0.414
Si  0.603  0.326  0.914
Si  0.793  0.074  0.109
Si  0.793  0.426  0.609
O  0.003  0.723  0.333
O  0.003  0.777  0.833
O  0.158  0.108  0.964
O  0.158  0.392  0.464
O  0.222  0.010  0.548
O  0.222  0.490  0.048
O  0.294  0.501  0.289
O  0.294  0.999  0.789
O  0.297  0.670  0.656
O  0.297  0.830  0.156
O  0.376  0.082  0.342
O  0.376  0.418  0.842
O  0.409  0.714  0.469
O  0.409  0.786  0.969
O  0.591  0.214  0.031
O  0.591  0.286  0.531
O  0.624  0.582  0.158
O  0.624  0.918  0.658
O  0.703  0.170  0.844
O  0.703  0.330  0.344
O  0.706  0.001  0.211
O  0.706  0.499  0.711
O  0.778  0.510  0.952
O  0.778  0.990  0.452
O  0.842  0.608  0.536
O  0.842  0.892  0.036
O  0.997  0.223  0.167
O  0.997  0.277  0.667

The following is a PBE calculation of a geometry-optimized Sm2Si2O7 structure, from OQMD via LeMat-Bulk.

## Properties
DFT total energy = -8.1828 eV/atom

a = 5.365 Å, b = 8.526 Å, c = 12.813 Å
α = 90.30°, β = 90.92°, γ = 91.52°
Fractional positions:
Sm  0.236  0.316  0.270
Sm  0.243  0.902  0.908
Sm  0.244  0.798  0.232
Sm  0.259  0.399  0.588
Sm  0.741  0.601  0.412
Sm  0.756  0.202  0.768
Sm  0.757  0.098  0.092
Sm  0.764  0.684  0.730
Si  0.217  0.255  0.980
Si  0.219  0.006  0.678
Si  0.282  0.505  0.822
Si  0.286  0.750  0.524
Si  0.714  0.250  0.476
Si  0.718  0.495  0.178
Si  0.781  0.994  0.322
Si  0.783  0.745  0.020
O  0.003  0.855  0.081
O  0.007  0.086  0.263
O  0.028  0.653  0.552
O  0.030  0.475  0.748
O  0.116  0.182  0.666
O  0.125  0.258  0.099
O  0.234  0.436  0.938
O  0.284  0.931  0.564
O  0.364  0.742  0.403
O  0.377  0.687  0.822
O  0.463  0.001  0.756
O  0.471  0.159  0.959
O  0.492  0.355  0.420
O  0.493  0.582  0.238
O  0.507  0.418  0.762
O  0.508  0.645  0.580
O  0.529  0.841  0.041
O  0.537  0.999  0.244
O  0.623  0.313  0.178
O  0.636  0.258  0.597
O  0.716  0.069  0.436
O  0.766  0.564  0.062
O  0.875  0.742  0.901
O  0.884  0.818  0.334
O  0.970  0.525  0.252
O  0.972  0.347  0.448
O  0.993  0.914  0.737
O  0.997  0.145  0.919

The following is a PBE calculation of a geometry-optimized SmSiO3 structure, from OQMD via LeMat-Bulk.

## Properties
DFT total energy = -7.4123 eV/atom

a = 5.261 Å, b = 5.261 Å, c = 3.707 Å
α = 90.00°, β = 90.00°, γ = 90.00°
Fractional positions:
Sm  0.000  0.500  0.000
Sm  0.500  0.000  0.000
Si  0.000  0.000  0.500
Si  0.500  0.500  0.500
O  0.000  0.000  0.000
O  0.249  0.251  0.500
O  0.251  0.751  0.500
O  0.500  0.500  0.000
O  0.749  0.249  0.500
O  0.751  0.749  0.500

The following is a PBE calculation of a geometry-optimized Sr3Ta6Si4O26 structure, from OQMD via LeMat-Bulk.

## Properties
DFT total energy = -8.7567 eV/atom

a = 8.901 Å, b = 8.901 Å, c = 7.591 Å
α = 90.00°, β = 90.00°, γ = 120.00°
Fractional positions:
Sr  0.000  0.604  0.000
Sr  0.396  0.396  0.000
Sr  0.604  0.000  0.000
Ta  0.000  0.238  0.256
Ta  0.000  0.238  0.744
Ta  0.238  0.000  0.256
Ta  0.238  0.000  0.744
Ta  0.762  0.762  0.256
Ta  0.762  0.762  0.744
Si  0.333  0.667  0.287
Si  0.333  0.667  0.713
Si  0.667  0.333  0.287
Si  0.667  0.333  0.713
O  0.000  0.205  0.000
O  0.000  0.297  0.500
O  0.000  0.809  0.281
O  0.000  0.809  0.719
O  0.176  0.491  0.201
O  0.176  0.491  0.799
O  0.191  0.191  0.281
O  0.191  0.191  0.719
O  0.205  0.000  0.000
O  0.297  0.000  0.500
O  0.314  0.824  0.201
O  0.314  0.824  0.799
O  0.333  0.667  0.500
O  0.491  0.176  0.201
O  0.491  0.176  0.799
O  0.509  0.686  0.201
O  0.509  0.686  0.799
O  0.667  0.333  0.500
O  0.686  0.509  0.201
O  0.686  0.509  0.799
O  0.703  0.703  0.500
O  0.795  0.795  0.000
O  0.809  0.000  0.281
O  0.809  0.000  0.719
O  0.824  0.314  0.201
O  0.824  0.314  0.799

The following is a PBE calculation of a geometry-optimized Ta2SiO4 structure, from OQMD via LeMat-Bulk.

## Properties
DFT total energy = -8.8551 eV/atom

a = 5.986 Å, b = 5.986 Å, c = 5.986 Å
α = 60.00°, β = 60.00°, γ = 60.00°
Fractional positions:
Ta  0.000  0.000  0.000
Ta  0.000  0.000  0.500
Ta  0.000  0.500  0.000
Ta  0.500  0.000  0.000
Si  0.375  0.375  0.375
Si  0.625  0.625  0.625
O  0.264  0.264  0.264
O  0.264  0.264  0.707
O  0.264  0.707  0.264
O  0.293  0.736  0.736
O  0.707  0.264  0.264
O  0.736  0.293  0.736
O  0.736  0.736  0.293
O  0.736  0.736  0.736

The following is a PBE calculation of a geometry-optimized Tb2Si2O5 structure, from OQMD via LeMat-Bulk.

## Properties
Polymorph energy (0 for the lowest one) = 299.5 meV/atom

a = 3.483 Å, b = 3.483 Å, c = 9.503 Å
α = 90.00°, β = 90.00°, γ = 90.00°
Fractional positions:
Tb  0.000  0.000  0.244
Tb  0.000  0.000  0.756
Si  0.500  0.500  0.000
Si  0.500  0.500  0.500
O  0.000  0.000  0.000
O  0.000  0.500  0.381
O  0.000  0.500  0.619
O  0.500  0.000  0.381
O  0.500  0.000  0.619

The following is a PBE calculation of a geometry-optimized Tb2Si2O5 structure, from OQMD via LeMat-Bulk.

## Properties
Polymorph energy (0 for the lowest one) = 0.0 meV/atom

a = 3.888 Å, b = 3.888 Å, c = 6.477 Å
α = 90.00°, β = 90.00°, γ = 90.00°
Fractional positions:
Tb  0.000  0.000  0.000
Tb  0.000  0.000  0.500
Si  0.500  0.500  0.225
Si  0.500  0.500  0.775
O  0.000  0.500  0.242
O  0.000  0.500  0.758
O  0.500  0.000  0.242
O  0.500  0.000  0.758
O  0.500  0.500  0.500

The following is a PBE calculation of a geometry-optimized Tb2SiO5 structure, from OQMD via LeMat-Bulk.

## Properties
Polymorph energy (0 for the lowest one) = 0.0 meV/atom

a = 7.962 Å, b = 7.962 Å, c = 10.363 Å
α = 118.82°, β = 118.82°, γ = 49.78°
Fractional positions:
Tb  0.011  0.271  0.833
Tb  0.210  0.717  0.538
Tb  0.271  0.011  0.333
Tb  0.283  0.790  0.962
Tb  0.717  0.210  0.038
Tb  0.729  0.989  0.667
Tb  0.790  0.283  0.462
Tb  0.989  0.729  0.167
Si  0.228  0.409  0.690
Si  0.409  0.228  0.190
Si  0.591  0.772  0.810
Si  0.772  0.591  0.310
O  0.059  0.347  0.672
O  0.078  0.884  0.100
O  0.091  0.674  0.684
O  0.116  0.922  0.400
O  0.240  0.364  0.055
O  0.326  0.909  0.816
O  0.347  0.059  0.172
O  0.364  0.240  0.555
O  0.403  0.417  0.354
O  0.417  0.403  0.854
O  0.583  0.597  0.146
O  0.597  0.583  0.646
O  0.636  0.760  0.445
O  0.653  0.941  0.828
O  0.674  0.091  0.184
O  0.760  0.636  0.945
O  0.884  0.078  0.600
O  0.909  0.326  0.316
O  0.922  0.116  0.900
O  0.941  0.653  0.328

The following is a PBE calculation of a geometry-optimized Tb2SiO5 structure, from OQMD via LeMat-Bulk.

## Properties
Polymorph energy (0 for the lowest one) = 17.7 meV/atom

a = 9.040 Å, b = 6.869 Å, c = 6.692 Å
α = 90.00°, β = 106.09°, γ = 90.00°
Fractional positions:
Tb  0.027  0.125  0.233
Tb  0.027  0.375  0.733
Tb  0.377  0.140  0.063
Tb  0.377  0.360  0.563
Tb  0.623  0.640  0.437
Tb  0.623  0.860  0.937
Tb  0.973  0.625  0.267
Tb  0.973  0.875  0.767
Si  0.299  0.590  0.029
Si  0.299  0.910  0.529
Si  0.701  0.090  0.471
Si  0.701  0.410  0.971
O  0.114  0.636  0.994
O  0.114  0.864  0.494
O  0.115  0.119  0.941
O  0.115  0.381  0.441
O  0.292  0.070  0.341
O  0.292  0.430  0.841
O  0.376  0.049  0.729
O  0.376  0.451  0.229
O  0.394  0.715  0.522
O  0.394  0.785  0.022
O  0.606  0.215  0.978
O  0.606  0.285  0.478
O  0.624  0.549  0.771
O  0.624  0.951  0.271
O  0.708  0.570  0.159
O  0.708  0.930  0.659
O  0.885  0.619  0.559
O  0.885  0.881  0.059
O  0.886  0.136  0.506
O  0.886  0.364  0.006

The following is a PBE calculation of a geometry-optimized Tb4SiO3 structure, from OQMD via LeMat-Bulk.

## Properties
DFT total energy = -6.9827 eV/atom

a = 6.234 Å, b = 6.234 Å, c = 6.234 Å
α = 131.03°, β = 131.03°, γ = 71.76°
Fractional positions:
Tb  0.000  0.500  0.500
Tb  0.234  0.234  0.000
Tb  0.500  0.000  0.500
Tb  0.766  0.766  0.000
Si  0.500  0.500  0.000
O  0.000  0.000  0.000
O  0.250  0.750  0.500
O  0.750  0.250  0.500

The following is a PBE calculation of a geometry-optimized Tb2SiO4 structure, from OQMD via LeMat-Bulk.

## Properties
Polymorph energy (0 for the lowest one) = 0.0 meV/atom

a = 6.579 Å, b = 5.449 Å, c = 9.933 Å
α = 90.00°, β = 90.00°, γ = 90.00°
Fractional positions:
Tb  0.030  0.250  0.188
Tb  0.111  0.250  0.548
Tb  0.389  0.750  0.048
Tb  0.470  0.750  0.688
Tb  0.530  0.250  0.312
Tb  0.611  0.250  0.952
Tb  0.889  0.750  0.452
Tb  0.970  0.750  0.812
Si  0.160  0.250  0.837
Si  0.340  0.750  0.337
Si  0.660  0.250  0.663
Si  0.840  0.750  0.163
O  0.037  0.750  0.055
O  0.155  0.750  0.618
O  0.193  0.504  0.370
O  0.193  0.996  0.370
O  0.307  0.004  0.870
O  0.307  0.496  0.870
O  0.345  0.250  0.118
O  0.463  0.250  0.555
O  0.537  0.750  0.445
O  0.655  0.750  0.882
O  0.693  0.504  0.130
O  0.693  0.996  0.130
O  0.807  0.004  0.630
O  0.807  0.496  0.630
O  0.845  0.250  0.382
O  0.963  0.250  0.945